Entry 1:
Here is a PBEsol-optimized structure of HfHgAsBr2 from the Alexandria database. Energies are from meta-GGA SCAN.

a b c (Å): 5.1681 5.1681 5.2399
angles (deg): 90.00 90.00 90.00
Space group P4/mmm (No. 123)
Unique sites:
Hf1 0.0000 0.0000 0.0000 (multiplicity 1)
Hg1 0.5000 0.5000 0.5000 (multiplicity 1)
As1 0.0000 0.0000 0.5000 (multiplicity 1)
Br1 0.0000 0.5000 0.0000 (multiplicity 2)

Calculated values
V: 27.99 A^3/atom
VASP energy: -38.470 eV/atom
formation energy without anion corrections: -11.08 kcal/mol of atoms

Entry 2:
Here is a PBEsol-optimized structure of Te2OsAu from the Alexandria database. Energies are from meta-GGA SCAN.

a b c (Å): 3.1119 3.1119 8.9799
angles (deg): 90.00 90.00 90.00
Space group P4mm (No. 99)
Unique sites:
Te1 0.0000 0.0000 0.0000 (multiplicity 1)
Te2 0.5000 0.5000 0.3740 (multiplicity 1)
Os1 0.5000 0.5000 0.8336 (multiplicity 1)
Au1 0.0000 0.0000 0.6232 (multiplicity 1)

Calculated values
V: 21.74 A^3/atom
VASP energy: -53.450 eV/atom
formation energy without anion corrections: 10.04 kcal/mol of atoms

Entry 3:
Here is a PBEsol-optimized structure of AgAu3 from the Alexandria database. Energies are from meta-GGA SCAN.

a b c (Å): 9.1177 9.1177 2.8079
angles (deg): 90.00 90.00 120.00
Space group R-3m (No. 166, hexagonal axes)
Unique sites:
Ag1 0.0000 0.0000 0.0000 (multiplicity 3)
Au1 0.0000 0.5000 0.0000 (multiplicity 9)

Calculated values
V: 16.85 A^3/atom
VASP energy: -59.739 eV/atom
energy of formation from the pure elements: -0.029 eV per atom

Entry 4:
Here is a PBEsol-optimized structure of FeTe4Cl from the Alexandria database. Energies are from meta-GGA SCAN.

a b c (Å): 8.6732 8.6732 8.6732
angles (deg): 90.00 90.00 90.00
Space group F-43m (No. 216)
Unique sites:
Fe1 0.0000 0.0000 0.0000 (multiplicity 4)
Te1 0.1252 0.1252 0.6252 (multiplicity 16)
Cl1 0.2500 0.2500 0.2500 (multiplicity 4)

Calculated values
V: 27.19 A^3/atom
VASP energy: -28.621 eV/atom
formation energy without anion corrections: 13.01 kcal/mol of atoms